Compound: LaDyS3
Source: Alexandria via LeMat-Bulk
Functional: PBE
Structure: relaxed

ΔE to the lowest computed polymorph, eV/atom: 0.020
Mass density, g/cm3: 5.23
Raw total energy, eV/atom: -6.510
Energy relative to the elements, uncorrected, kcal/mol of atoms: -49.070

Structure (CIF):
```
data_LaDyS3
_cell_length_a 7.925
_cell_length_b 4.015
_cell_length_c 7.962
_cell_angle_alpha 90.00
_cell_angle_beta 94.93
_cell_angle_gamma 90.00
_space_group_name_H-M_alt 'P 1 21/m 1'
_space_group_IT_number 11
loop_
_space_group_symop_operation_xyz
'x,y,z'
'-x,-y,-z'
'-x,y+1/2,-z'
'x,-y+1/2,z'
loop_
_atom_site_label
_atom_site_type_symbol
_atom_site_fract_x
_atom_site_fract_y
_atom_site_fract_z
La1 La 0.228 0.250 0.376
Dy1 Dy 0.327 0.250 0.852
S1 S 0.026 0.250 0.683
S2 S 0.320 0.750 0.092
S3 S 0.387 0.750 0.628
```



Compound: La3DyS6
Source: Alexandria via LeMat-Bulk
Functional: PBE
Structure: relaxed

ΔE to the lowest computed polymorph, eV/atom: 0.000
Mass density, g/cm3: 4.40
DOS(E_F), states/eV per cell: 0.000
Raw total energy, eV/atom: -6.576
Energy relative to the elements, uncorrected, kcal/mol of atoms: -49.839

Structure (CIF):
```
data_La3DyS6
_cell_length_a 11.9867
_cell_length_b 11.9867
_cell_length_c 14.0418
_cell_angle_alpha 90.00
_cell_angle_beta 90.00
_cell_angle_gamma 120.00
_space_group_name_H-M_alt 'R -3'
_space_group_IT_number 148
_space_group_name_Hall '-R 3'
loop_
_atom_site_label
_atom_site_type_symbol
_atom_site_fract_x
_atom_site_fract_y
_atom_site_fract_z
La1 La 0.0473 0.7775 0.2022
Dy1 Dy 0.0000 0.0000 0.0000
Dy2 Dy 0.0000 0.0000 0.5000
S1 S 0.0252 0.8153 0.4012
S2 S 0.0307 0.8403 0.8797
```



Compound: LaDyS
Source: Alexandria via LeMat-Bulk
Functional: PBE
Structure: relaxed

ΔE to the lowest computed polymorph, eV/atom: 0.022
Mass density, g/cm3: 6.35
DOS(E_F), states/eV per cell: 1.170
Raw total energy, eV/atom: -5.812
Energy relative to the elements, uncorrected, kcal/mol of atoms: -29.041

Structure (CIF):
```
data_LaDyS
_cell_length_a 3.9015
_cell_length_b 3.9015
_cell_length_c 6.6190
_cell_angle_alpha 90.00
_cell_angle_beta 90.00
_cell_angle_gamma 120.00
_space_group_name_H-M_alt 'P 3 m 1'
_space_group_IT_number 156
loop_
_space_group_symop_operation_xyz
'x,y,z'
'-y,x-y,z'
'-x+y,-x,z'
'-y,-x,z'
'-x+y,y,z'
'x,x-y,z'
loop_
_atom_site_label
_atom_site_type_symbol
_atom_site_fract_x
_atom_site_fract_y
_atom_site_fract_z
La1 La 0.0000 0.0000 0.0000
Dy1 Dy 0.6667 0.3333 0.4880
S1 S 0.3333 0.6667 0.7243
```